No. 1
# GGA-PBE CoRuCl3, optimized geometry
# * formation energy from raw total energies: 551 meV per atom
# * E_tot: -0.141 hartree per atom
# * total magnetization: 3.4 μB per cell
data_CoRuCl3
_space_group_name_H-M_alt 'P m -3 m'
_space_group_IT_number 221
_space_group_name_Hall '-P 4 2 3'
_cell_length_a 4.778
_cell_length_b 4.778
_cell_length_c 4.778
_cell_angle_alpha 90.00
_cell_angle_beta 90.00
_cell_angle_gamma 90.00
loop_
_atom_site_label
_atom_site_type_symbol
_atom_site_fract_x
_atom_site_fract_y
_atom_site_fract_z
Co1 Co 0.000 0.000 0.000
Ru1 Ru 0.500 0.500 0.500
Cl1 Cl 0.000 0.500 0.500

No. 2
# GGA-PBE BaLi2Hg, optimized geometry
# * formation energy: -0.2074 eV per atom
# * E_tot: -0.063 hartree per atom
# * total magnetization: 0.0 μB per cell
data_BaLi2Hg
_space_group_name_H-M_alt 'P 1 m 1'
_space_group_IT_number 6
_cell_length_a 4.111
_cell_length_b 4.494
_cell_length_c 7.069
_cell_angle_alpha 90.00
_cell_angle_beta 106.67
_cell_angle_gamma 90.00
loop_
_space_group_symop_operation_xyz
'x,y,z'
'x,-y,z'
loop_
_atom_site_label
_atom_site_type_symbol
_atom_site_fract_x
_atom_site_fract_y
_atom_site_fract_z
Ba1 Ba 0.000 0.000 0.000
Li1 Li 0.277 0.500 0.567
Li2 Li 0.733 0.000 0.483
Hg1 Hg 0.629 0.500 0.262